Compound: ReW2Cl
Source: Alexandria
Functional: PBE
Structure: optimized geometry

Lattice parameters (Å, degrees): 6.8558 6.8558 5.6761 90.00 90.00 90.00
Closest atoms and distances in Å follow each position.
Space group I-42d (No. 122)
Symmetry-distinct sites (fractional):
Re1 0.0000 0.0000 0.0000  4 W 2.61, 2 Cl 2.84
W1 0.2323 0.2500 0.6250  2 Cl 2.44, 2 Re 2.61
Cl1 0.0000 0.0000 0.5000  4 W 2.44

Computed properties:
ΔE_f (raw)   1.299 eV/atom
Crystal system   tetragonal
Polymorph energy (0 for the lowest one)   3.58 eV/f.u.